1.
Density functional theory data (PBE) for TbCuPdPb after structural relaxation. Values from VASP.

Cell and atoms, written as Quantum ESPRESSO input:
```
&SYSTEM
  ibrav = 0, nat = 4, ntyp = 4
/
ATOMIC_SPECIES
Tb 158.93 Tb.upf
Cu 63.55 Cu.upf
Pd 106.42 Pd.upf
Pb 207.20 Pb.upf
CELL_PARAMETERS angstrom
0.000 3.427 3.427
3.427 0.000 3.427
3.427 3.427 0.000
ATOMIC_POSITIONS angstrom
Tb 0.000 0.000 0.000
Cu 1.714 1.714 1.714
Pd 5.141 5.141 5.141
Pb 3.427 3.427 3.427
```



2.
Density functional theory data (PBE) for ThCuPdPb after structural relaxation. Values from VASP.

Cell and atoms, written as Quantum ESPRESSO input:
```
&SYSTEM
  ibrav = 0, nat = 4, ntyp = 4
/
ATOMIC_SPECIES
Th 232.04 Th.upf
Cu 63.55 Cu.upf
Pd 106.42 Pd.upf
Pb 207.20 Pb.upf
CELL_PARAMETERS angstrom
0.000 3.510 3.510
3.510 0.000 3.510
3.510 3.510 0.000
ATOMIC_POSITIONS angstrom
Th 0.000 0.000 0.000
Cu 1.755 1.755 1.755
Pd 5.265 5.265 5.265
Pb 3.510 3.510 3.510
```



3.
Density functional theory data (PBE) for TiCuPdPb after structural relaxation. Values from VASP.

Cell and atoms, written as Quantum ESPRESSO input:
```
&SYSTEM
  ibrav = 0, nat = 4, ntyp = 4
/
ATOMIC_SPECIES
Ti 47.87 Ti.upf
Cu 63.55 Cu.upf
Pd 106.42 Pd.upf
Pb 207.20 Pb.upf
CELL_PARAMETERS angstrom
0.000 3.252 3.252
3.252 0.000 3.252
3.252 3.252 0.000
ATOMIC_POSITIONS angstrom
Ti 0.000 0.000 0.000
Cu 1.626 1.626 1.626
Pd 4.878 4.878 4.878
Pb 3.252 3.252 3.252
```



4.
Density functional theory data (PBE) for UCuPdPb after structural relaxation. Values from VASP.

Cell and atoms, written as Quantum ESPRESSO input:
```
&SYSTEM
  ibrav = 0, nat = 4, ntyp = 4
/
ATOMIC_SPECIES
U 238.03 U.upf
Cu 63.55 Cu.upf
Pd 106.42 Pd.upf
Pb 207.20 Pb.upf
CELL_PARAMETERS angstrom
0.000 3.436 3.436
3.436 0.000 3.436
3.436 3.436 0.000
ATOMIC_POSITIONS angstrom
U 0.000 0.000 0.000
Cu 1.718 1.718 1.718
Pd 5.155 5.155 5.155
Pb 3.436 3.436 3.436
```



5.
Density functional theory data (PBE) for ZnCuPdPb2 after structural relaxation. Values from VASP.

Cell and atoms, written as Quantum ESPRESSO input:
```
&SYSTEM
  ibrav = 0, nat = 5, ntyp = 4
/
ATOMIC_SPECIES
Zn 65.41 Zn.upf
Cu 63.55 Cu.upf
Pd 106.42 Pd.upf
Pb 207.20 Pb.upf
CELL_PARAMETERS angstrom
5.030 0.000 0.000
0.000 5.030 0.000
0.000 0.000 4.888
ATOMIC_POSITIONS angstrom
Zn 0.000 0.000 0.000
Cu 2.515 2.515 2.444
Pd 2.515 2.515 0.000
Pb 0.000 2.515 2.444
Pb 2.515 0.000 2.444
```



6.
Density functional theory data (PBE) for ZrCu2PdPb after structural relaxation. Values from VASP.

Cell and atoms, written as Quantum ESPRESSO input:
```
&SYSTEM
  ibrav = 0, nat = 5, ntyp = 4
/
ATOMIC_SPECIES
Zr 91.22 Zr.upf
Cu 63.55 Cu.upf
Pd 106.42 Pd.upf
Pb 207.20 Pb.upf
CELL_PARAMETERS angstrom
4.740 0.000 0.000
0.000 4.740 0.000
0.000 0.000 4.931
ATOMIC_POSITIONS angstrom
Zr 0.000 0.000 0.000
Cu 0.000 2.370 2.465
Cu 2.370 0.000 2.465
Pd 0.000 0.000 2.465
Pb 2.370 2.370 0.000
```



7.
Density functional theory data (PBE) for ZrCuPdPb after structural relaxation. Values from VASP.

Cell and atoms, written as Quantum ESPRESSO input:
```
&SYSTEM
  ibrav = 0, nat = 4, ntyp = 4
/
ATOMIC_SPECIES
Zr 91.22 Zr.upf
Cu 63.55 Cu.upf
Pd 106.42 Pd.upf
Pb 207.20 Pb.upf
CELL_PARAMETERS angstrom
0.000 3.339 3.339
3.339 0.000 3.339
3.339 3.339 0.000
ATOMIC_POSITIONS angstrom
Zr 0.000 0.000 0.000
Cu 1.669 1.669 1.669
Pd 5.008 5.008 5.008
Pb 3.339 3.339 3.339
```



8.
Density functional theory data (PBE) for Pm4Cu3Pb after structural relaxation. Values from VASP.

Cell and atoms, written as Quantum ESPRESSO input:
```
&SYSTEM
  ibrav = 0, nat = 8, ntyp = 3
/
ATOMIC_SPECIES
Pm 145.00 Pm.upf
Cu 63.55 Cu.upf
Pb 207.20 Pb.upf
CELL_PARAMETERS angstrom
4.084 0.000 0.000
0.000 4.546 0.000
0.000 0.000 10.969
ATOMIC_POSITIONS angstrom
Pm 0.000 0.000 0.000
Pm 0.000 2.273 2.900
Pm 2.042 0.000 5.092
Pm 2.042 2.273 8.608
Cu 0.000 2.273 5.918
Cu 2.042 0.000 2.098
Cu 2.042 2.273 0.727
Pb 0.000 0.000 7.687
```



9.
Density functional theory data (PBE) for Pm4CuPb3 after structural relaxation. Values from VASP.

Cell and atoms, written as Quantum ESPRESSO input:
```
&SYSTEM
  ibrav = 0, nat = 8, ntyp = 3
/
ATOMIC_SPECIES
Pm 145.00 Pm.upf
Cu 63.55 Cu.upf
Pb 207.20 Pb.upf
CELL_PARAMETERS angstrom
4.503 0.000 0.000
0.000 4.531 0.000
0.000 0.000 11.691
ATOMIC_POSITIONS angstrom
Pm 0.000 0.000 0.000
Pm 0.000 2.266 2.983
Pm 2.252 0.000 5.540
Pm 2.252 2.266 8.878
Cu 2.252 0.000 2.327
Pb 0.000 0.000 8.451
Pb 0.000 2.266 6.154
Pb 2.252 2.266 0.495
```



10.
Density functional theory data (PBE) for Pm5Cu2Pb after structural relaxation. Values from VASP.

Cell and atoms, written as Quantum ESPRESSO input:
```
&SYSTEM
  ibrav = 0, nat = 16, ntyp = 3
/
ATOMIC_SPECIES
Pm 145.00 Pm.upf
Cu 63.55 Cu.upf
Pb 207.20 Pb.upf
CELL_PARAMETERS angstrom
-4.086 4.086 6.655
4.086 -4.086 6.655
4.086 4.086 -6.655
ATOMIC_POSITIONS angstrom
Pm 0.000 0.000 0.000
Pm 5.343 1.257 -1.885
Pm 1.257 2.829 -1.885
Pm 5.343 1.257 1.885
Pm 1.257 2.829 1.885
Pm 0.000 0.000 6.655
Pm 2.829 1.257 4.771
Pm -1.257 2.829 4.771
Pm 2.829 1.257 8.540
Pm -1.257 2.829 8.540
Cu 3.025 1.061 0.000
Cu 3.025 -1.061 6.655
Cu 1.061 5.147 0.000
Cu 1.061 3.025 6.655
Pb 0.000 0.000 3.328
Pb 0.000 0.000 9.983
```



11.
Density functional theory data (PBE) for Pm3Cu2Pb after structural relaxation. Values from VASP.

Cell and atoms, written as Quantum ESPRESSO input:
```
&SYSTEM
  ibrav = 0, nat = 6, ntyp = 3
/
ATOMIC_SPECIES
Pm 145.00 Pm.upf
Cu 63.55 Cu.upf
Pb 207.20 Pb.upf
CELL_PARAMETERS angstrom
3.539 0.000 0.000
0.000 3.539 0.000
0.000 0.000 12.002
ATOMIC_POSITIONS angstrom
Pm 0.000 0.000 0.000
Pm 0.000 0.000 3.634
Pm 0.000 0.000 8.368
Cu 1.770 1.770 1.770
Cu 1.770 1.770 10.232
Pb 1.770 1.770 6.001
```



12.
Density functional theory data (PBE) for Pm12CuPb6 after structural relaxation. Values from VASP.

Cell and atoms, written as Quantum ESPRESSO input:
```
&SYSTEM
  ibrav = 0, nat = 19, ntyp = 3
/
ATOMIC_SPECIES
Pm 145.00 Pm.upf
Cu 63.55 Cu.upf
Pb 207.20 Pb.upf
CELL_PARAMETERS angstrom
6.180 3.568 4.755
-6.180 3.568 4.755
0.000 -7.136 4.755
ATOMIC_POSITIONS angstrom
Pm -5.441 -1.502 7.957
Pm -1.420 -5.463 6.308
Pm -1.391 -1.693 5.354
Pm -4.022 3.961 6.308
Pm -0.771 2.051 5.354
Pm -2.162 0.358 8.911
Pm 2.162 -0.358 5.354
Pm 0.771 -2.051 8.911
Pm 4.022 -3.961 7.957
Pm 1.391 1.693 8.911
Pm 1.420 5.463 7.957
Pm 5.441 1.502 6.308
Cu 0.000 0.000 7.133
Pb -3.751 0.635 6.055
Pb -2.426 -2.931 8.210
Pb 1.325 -3.566 6.055
Pb -1.325 3.566 8.210
Pb 2.426 2.931 6.055
Pb 3.751 -0.635 8.210
```



Number 1: volume 81 Å³/f.u., energy of formation from the pure elements -0.4557 eV/atom. Number 2: volume 86 Å³/f.u., energy of formation from the pure elements -0.4080 eV/atom. Number 3: volume 69 Å³/f.u., energy of formation from the pure elements -0.0969 eV/atom. Number 4: volume 81 Å³/f.u., energy of formation from the pure elements -0.0078 eV/atom. Number 5: volume 124 Å³/f.u., energy of formation from the pure elements 0.4299 eV/atom. Number 6: volume 111 Å³/f.u., energy of formation from the pure elements 0.3888 eV/atom. Number 7: volume 74 Å³/f.u., energy of formation from the pure elements -0.2425 eV/atom. Number 8: volume 204 Å³/f.u., energy of formation from the pure elements -0.2248 eV/atom. Number 9: volume 239 Å³/f.u., energy of formation from the pure elements -0.4162 eV/atom. Number 10: volume 222 Å³/f.u., energy of formation from the pure elements -0.2434 eV/atom. Number 11: volume 150 Å³/f.u., energy of formation from the pure elements -0.2659 eV/atom. Number 12: volume 629 Å³/f.u., energy of formation from the pure elements -0.3101 eV/atom.